1.
{
  "formula": "Pm2SiAu",
  "functional": "PBE",
  "state": "optimized geometry",
  "cell": [[3.601, 0.000, 0.000], [0.000, 3.601, 0.000], [0.000, 0.000, 7.494]],
  "species": ["Pm", "Pm", "Si", "Au"],
  "frac_coords": [[0.000, 0.000, 0.242], [0.000, 0.000, 0.758], [0.500, 0.500, 0.000], [0.500, 0.500, 0.500]],
  "energy_ev_per_atom": -5.185,
  "space_group": "P4/mmm (123)"
}

2.
{
  "formula": "Sn2HgP",
  "functional": "PBE",
  "state": "optimized geometry",
  "cell": [[3.539, 0.000, 0.000], [0.000, 3.539, 0.000], [0.000, 0.000, 8.067]],
  "species": ["Sn", "Sn", "Hg", "P"],
  "frac_coords": [[0.000, 0.000, 0.192], [0.000, 0.000, 0.808], [0.500, 0.500, 0.500], [0.500, 0.500, 0.000]],
  "energy_ev_per_atom": -3.298,
  "ef_ev_per_atom": 0.131,
  "space_group": "P4/mmm (123)"
}

3.
{
  "formula": "Ac2Cd5In2",
  "functional": "PBE",
  "state": "optimized geometry",
  "cell": [[4.799, 0.000, 0.000], [0.000, 4.799, 0.000], [0.000, 0.000, 11.269]],
  "species": ["Ac", "Ac", "Cd", "Cd", "Cd", "Cd", "Cd", "In", "In"],
  "frac_coords": [[0.000, 0.000, 0.000], [0.000, 0.000, 0.500], [0.000, 0.500, 0.223], [0.000, 0.500, 0.777], [0.500, 0.000, 0.223], [0.500, 0.000, 0.777], [0.500, 0.500, 0.000], [0.500, 0.500, 0.376], [0.500, 0.500, 0.624]],
  "energy_ev_per_atom": -2.244,
  "ef_ev_per_atom": -0.214,
  "space_group": "P4/mmm (123)"
}

4.
{
  "formula": "SiS",
  "functional": "PBE",
  "state": "optimized geometry",
  "cell": [[-5.290, 5.290, 1.671], [5.290, -5.290, 1.671], [5.290, 5.290, -1.671]],
  "species": ["Si", "Si", "Si", "Si", "S", "S", "S", "S"],
  "frac_coords": [[0.118, 0.216, 0.334], [0.216, 0.882, 0.098], [0.784, 0.118, 0.902], [0.882, 0.784, 0.666], [0.140, 0.667, 0.807], [0.333, 0.140, 0.473], [0.667, 0.860, 0.527], [0.860, 0.333, 0.193]],
  "energy_ev_per_atom": -4.801,
  "space_group": "I4/m (87)"
}

5.
{
  "formula": "Tm4Zn2Ag",
  "functional": "PBE",
  "state": "optimized geometry",
  "cell": [[2.412, 1.392, 8.995], [-2.412, 1.392, 8.995], [0.000, -2.785, 8.995]],
  "species": ["Tm", "Tm", "Tm", "Tm", "Zn", "Zn", "Ag"],
  "frac_coords": [[0.119, 0.119, 0.119], [0.297, 0.297, 0.297], [0.703, 0.703, 0.703], [0.881, 0.881, 0.881], [0.404, 0.404, 0.404], [0.596, 0.596, 0.596], [0.500, 0.500, 0.500]],
  "energy_ev_per_atom": -3.382,
  "ef_ev_per_atom": -0.056,
  "space_group": "R-3m (166)"
}

6.
{
  "formula": "TbCe2",
  "functional": "PBE",
  "state": "optimized geometry",
  "cell": [[0.000, 4.469, 4.469], [4.469, 0.000, 4.469], [4.469, 4.469, 0.000]],
  "species": ["Tb", "Tb", "Ce", "Ce", "Ce", "Ce"],
  "frac_coords": [[0.125, 0.125, 0.125], [0.875, 0.875, 0.875], [0.000, 0.500, 0.500], [0.500, 0.000, 0.500], [0.500, 0.500, 0.000], [0.500, 0.500, 0.500]],
  "energy_ev_per_atom": -5.291,
  "ef_ev_per_atom": 0.208,
  "space_group": "Fd-3m (227)"
}

7.
{
  "formula": "Ga2Ag2Pb",
  "functional": "PBE",
  "state": "optimized geometry",
  "cell": [[-2.201, 2.201, 5.573], [2.201, -2.201, 5.573], [2.201, 2.201, -5.573]],
  "species": ["Ga", "Ga", "Ag", "Ag", "Pb"],
  "frac_coords": [[0.113, 0.113, 0.000], [0.887, 0.887, 0.000], [0.250, 0.750, 0.500], [0.750, 0.250, 0.500], [0.500, 0.500, 0.000]],
  "energy_ev_per_atom": -3.039,
  "ef_ev_per_atom": 0.054,
  "space_group": "I4/mmm (139)"
}

8.
{
  "formula": "Ac6TlPd2",
  "functional": "PBE",
  "state": "optimized geometry",
  "cell": [[-5.125, 5.491, 5.732], [5.125, -5.491, 5.732], [5.125, 5.491, -5.732]],
  "species": ["Ac", "Ac", "Ac", "Ac", "Ac", "Ac", "Ac", "Ac", "Ac", "Ac", "Ac", "Ac", "Tl", "Tl", "Pd", "Pd", "Pd", "Pd"],
  "frac_coords": [[0.039, 0.234, 0.805], [0.179, 0.292, 0.470], [0.179, 0.708, 0.887], [0.328, 0.019, 0.691], [0.328, 0.638, 0.309], [0.429, 0.234, 0.195], [0.571, 0.766, 0.805], [0.672, 0.362, 0.691], [0.672, 0.981, 0.309], [0.821, 0.292, 0.113], [0.821, 0.708, 0.530], [0.961, 0.766, 0.195], [0.000, 0.000, 0.000], [0.500, 0.500, 0.000], [0.127, 0.627, 0.500], [0.348, 0.000, 0.348], [0.652, 0.000, 0.652], [0.873, 0.373, 0.500]],
  "energy_ev_per_atom": -4.591,
  "ef_ev_per_atom": -0.435,
  "space_group": "Immm (71)"
}

9.
{
  "formula": "LiTb2Sc",
  "functional": "PBE",
  "state": "optimized geometry",
  "cell": [[0.000, 3.780, 3.780], [3.780, 0.000, 3.780], [3.780, 3.780, 0.000]],
  "species": ["Li", "Tb", "Tb", "Sc"],
  "frac_coords": [[0.000, 0.000, 0.000], [0.250, 0.250, 0.250], [0.750, 0.750, 0.750], [0.500, 0.500, 0.500]],
  "energy_ev_per_atom": -4.226,
  "ef_ev_per_atom": 0.151,
  "space_group": "Fm-3m (225)"
}

10.
{
  "formula": "AcInOs",
  "functional": "PBE",
  "state": "optimized geometry",
  "cell": [[6.717, -2.216, 0.000], [6.717, 2.216, 0.000], [-1.178, 0.000, 5.543]],
  "species": ["Ac", "Ac", "In", "In", "Os", "Os"],
  "frac_coords": [[0.123, 0.123, 0.332], [0.877, 0.877, 0.668], [0.421, 0.421, 0.193], [0.579, 0.579, 0.807], [0.221, 0.221, 0.912], [0.779, 0.779, 0.088]],
  "energy_ev_per_atom": -6.174,
  "ef_ev_per_atom": -0.149,
  "space_group": "C2/m (12)"
}

11.
{
  "formula": "TaZn2Te",
  "functional": "PBE",
  "state": "optimized geometry",
  "cell": [[5.091, -1.697, 0.000], [5.091, 1.697, 0.000], [-1.475, 0.000, 4.316]],
  "species": ["Ta", "Zn", "Zn", "Te"],
  "frac_coords": [[0.000, 0.000, 0.000], [0.254, 0.254, 0.771], [0.746, 0.746, 0.229], [0.500, 0.500, 0.500]],
  "energy_ev_per_atom": -4.060,
  "space_group": "C2/m (12)"
}

12.
{
  "formula": "Ac2HoPt2",
  "functional": "PBE",
  "state": "optimized geometry",
  "cell": [[-4.136, 5.732, 3.269], [4.136, -5.732, 3.269], [4.136, 5.732, -3.269]],
  "species": ["Ac", "Ac", "Ac", "Ac", "Ho", "Ho", "Pt", "Pt", "Pt", "Pt"],
  "frac_coords": [[0.153, 0.140, 0.293], [0.347, 0.640, 0.986], [0.653, 0.360, 0.014], [0.847, 0.860, 0.707], [0.250, 0.750, 0.500], [0.750, 0.250, 0.500], [0.100, 0.755, 0.855], [0.400, 0.255, 0.655], [0.600, 0.745, 0.345], [0.900, 0.245, 0.145]],
  "energy_ev_per_atom": -5.930,
  "ef_ev_per_atom": -0.954,
  "space_group": "Ibam (72)"
}

13.
{
  "formula": "SrLiPr2Hg4",
  "functional": "PBE",
  "state": "optimized geometry",
  "cell": [[2.673, 1.543, 8.944], [-2.673, 1.543, 8.944], [0.000, -3.086, 8.944]],
  "species": ["Sr", "Li", "Pr", "Pr", "Hg", "Hg", "Hg", "Hg"],
  "frac_coords": [[0.000, 0.000, 0.000], [0.500, 0.500, 0.500], [0.244, 0.244, 0.244], [0.756, 0.756, 0.756], [0.126, 0.126, 0.126], [0.385, 0.385, 0.385], [0.615, 0.615, 0.615], [0.874, 0.874, 0.874]],
  "energy_ev_per_atom": -2.239,
  "ef_ev_per_atom": -0.444,
  "space_group": "R-3m (166)"
}

14.
{
  "formula": "NpSc3Ni8",
  "functional": "PBE",
  "state": "optimized geometry",
  "cell": [[2.462, 1.422, 8.031], [-2.462, 1.422, 8.031], [0.000, -2.843, 8.031]],
  "species": ["Np", "Sc", "Sc", "Sc", "Ni", "Ni", "Ni", "Ni", "Ni", "Ni", "Ni", "Ni"],
  "frac_coords": [[0.000, 0.000, 0.000], [0.376, 0.376, 0.376], [0.500, 0.500, 0.500], [0.874, 0.874, 0.874], [0.188, 0.188, 0.188], [0.437, 0.437, 0.936], [0.437, 0.936, 0.437], [0.440, 0.938, 0.938], [0.688, 0.688, 0.688], [0.936, 0.437, 0.437], [0.938, 0.440, 0.938], [0.938, 0.938, 0.440]],
  "energy_ev_per_atom": -6.915,
  "ef_ev_per_atom": -0.399,
  "space_group": "R3m (160)"
}

15.
{
  "formula": "NdSm2NpO8",
  "functional": "PBE",
  "state": "optimized geometry",
  "cell": [[3.968, 0.000, 0.000], [0.000, 7.593, 0.000], [-0.431, 0.000, 5.504]],
  "species": ["Nd", "Sm", "Sm", "Np", "O", "O", "O", "O", "O", "O", "O", "O"],
  "frac_coords": [[0.000, 0.000, 0.000], [0.500, 0.244, 0.500], [0.500, 0.756, 0.500], [0.000, 0.500, 0.000], [0.032, 0.284, 0.766], [0.032, 0.716, 0.766], [0.447, 0.500, 0.218], [0.493, 0.000, 0.744], [0.507, 0.000, 0.256], [0.553, 0.500, 0.782], [0.968, 0.284, 0.234], [0.968, 0.716, 0.234]],
  "energy_ev_per_atom": -8.702,
  "space_group": "P2/m (10)"
}

16.
{
  "formula": "LaNdDy6",
  "functional": "PBE",
  "state": "optimized geometry",
  "cell": [[5.176, -3.371, 0.000], [5.176, 3.371, 0.000], [-2.213, 0.000, 8.255]],
  "species": ["La", "Nd", "Dy", "Dy", "Dy", "Dy", "Dy", "Dy"],
  "frac_coords": [[0.000, 0.000, 0.000], [0.000, 0.000, 0.500], [0.060, 0.541, 0.201], [0.377, 0.377, 0.578], [0.459, 0.940, 0.799], [0.541, 0.060, 0.201], [0.623, 0.623, 0.422], [0.940, 0.459, 0.799]],
  "energy_ev_per_atom": -4.298,
  "ef_ev_per_atom": 0.365,
  "space_group": "C2/m (12)"
}

17.
{
  "formula": "AsIrCl2",
  "functional": "PBE",
  "state": "optimized geometry",
  "cell": [[3.510, 0.000, 0.000], [-0.022, 5.892, 0.000], [-1.579, -0.234, 5.864]],
  "species": ["As", "Ir", "Cl", "Cl"],
  "frac_coords": [[0.000, 0.000, 0.000], [0.583, 0.195, 0.180], [0.500, 0.523, 0.985], [0.718, 0.999, 0.514]],
  "energy_ev_per_atom": -4.492,
  "space_group": "P1 (1)"
}

18.
{
  "formula": "InCoRe",
  "functional": "PBE",
  "state": "optimized geometry",
  "cell": [[4.382, 0.000, 0.000], [-2.191, 3.795, 0.000], [0.000, 0.000, 2.789]],
  "species": ["In", "Co", "Re"],
  "frac_coords": [[0.000, 0.000, 0.000], [0.333, 0.667, 0.500], [0.667, 0.333, 0.500]],
  "energy_ev_per_atom": -6.877,
  "ef_ev_per_atom": 0.554,
  "space_group": "P-6m2 (187)"
}

19.
{
  "formula": "IrSICl2",
  "functional": "PBE",
  "state": "optimized geometry",
  "cell": [[5.419, 0.000, 0.000], [0.000, 5.419, 0.000], [0.000, 0.000, 5.169]],
  "species": ["Ir", "S", "I", "Cl", "Cl"],
  "frac_coords": [[0.000, 0.000, 0.000], [0.500, 0.500, 0.000], [0.500, 0.500, 0.500], [0.000, 0.500, 0.500], [0.500, 0.000, 0.500]],
  "energy_ev_per_atom": -2.145,
  "space_group": "P4/mmm (123)"
}

20.
{
  "formula": "Rb2AcTbSe4",
  "functional": "PBE",
  "state": "optimized geometry",
  "cell": [[7.694, 0.000, 0.000], [0.000, 4.435, 0.000], [-2.548, 0.000, 8.037]],
  "species": ["Rb", "Rb", "Ac", "Tb", "Se", "Se", "Se", "Se"],
  "frac_coords": [[0.000, 0.000, 0.000], [0.500, 0.500, 0.000], [0.000, 0.500, 0.500], [0.500, 0.000, 0.500], [0.252, 0.000, 0.705], [0.283, 0.500, 0.302], [0.717, 0.500, 0.698], [0.748, 0.000, 0.295]],
  "energy_ev_per_atom": -4.833,
  "space_group": "P2/m (10)"
}

21.
{
  "formula": "Dy3GaHg2",
  "functional": "PBE",
  "state": "optimized geometry",
  "cell": [[3.664, 0.000, 0.000], [0.000, 3.664, 0.000], [0.000, 0.000, 11.083]],
  "species": ["Dy", "Dy", "Dy", "Ga", "Hg", "Hg"],
  "frac_coords": [[0.000, 0.000, 0.000], [0.000, 0.000, 0.343], [0.000, 0.000, 0.657], [0.500, 0.500, 0.500], [0.500, 0.500, 0.170], [0.500, 0.500, 0.830]],
  "energy_ev_per_atom": -3.415,
  "ef_ev_per_atom": -0.508,
  "space_group": "P4/mmm (123)"
}

22.
{
  "formula": "ZrMnBe2",
  "functional": "PBE",
  "state": "optimized geometry",
  "cell": [[3.731, 0.000, 0.000], [0.000, 3.731, 0.000], [0.000, 0.000, 3.766]],
  "species": ["Zr", "Mn", "Be", "Be"],
  "frac_coords": [[0.000, 0.000, 0.000], [0.500, 0.500, 0.000], [0.000, 0.500, 0.500], [0.500, 0.000, 0.500]],
  "energy_ev_per_atom": -6.163,
  "ef_ev_per_atom": 0.129,
  "space_group": "P4/mmm (123)"
}

23.
{
  "formula": "ZrCdHg2",
  "functional": "PBE",
  "state": "optimized geometry",
  "cell": [[3.231, -4.527, 0.000], [3.231, 4.527, 0.000], [0.000, 0.000, 3.045]],
  "species": ["Zr", "Cd", "Hg", "Hg"],
  "frac_coords": [[0.000, 0.000, 0.000], [0.500, 0.500, 0.000], [0.000, 0.500, 0.500], [0.500, 0.000, 0.500]],
  "energy_ev_per_atom": -2.544,
  "ef_ev_per_atom": -0.027,
  "space_group": "Cmmm (65)"
}

24.
{
  "formula": "RbBa2TeCl",
  "functional": "PBE",
  "state": "optimized geometry",
  "cell": [[6.613, 0.000, 0.000], [0.000, 6.613, 0.000], [0.000, 0.000, 7.253]],
  "species": ["Rb", "Ba", "Ba", "Te", "Cl"],
  "frac_coords": [[0.000, 0.000, 0.000], [0.000, 0.500, 0.500], [0.500, 0.000, 0.500], [0.000, 0.000, 0.500], [0.500, 0.500, 0.000]],
  "energy_ev_per_atom": -2.837,
  "space_group": "P4/mmm (123)"
}

25.
{
  "formula": "CaPbO2",
  "functional": "PBE",
  "state": "optimized geometry",
  "cell": [[1.740, 1.005, 6.722], [-1.740, 1.005, 6.722], [0.000, -2.009, 6.722]],
  "species": ["Ca", "Pb", "O", "O"],
  "frac_coords": [[0.000, 0.000, 0.000], [0.500, 0.500, 0.500], [0.393, 0.393, 0.393], [0.607, 0.607, 0.607]],
  "energy_ev_per_atom": -5.559,
  "space_group": "R-3m (166)"
}